No. 1
A geometry-optimized NpNbAu structure, computed with GGA-PBE.

Properties
Total moment ... 3.33 μB per cell
Energy of formation from the pure elements ... 0.11 eV/atom
Space-group type ... No. 107

Lattice parameters (Å, degrees): 2.8547 2.8547 7.4839 101.00 101.00 90.00
With the nearest neighbours (Å) after each atom.
Positions (direct):
Np: 0.3327 0.3327 0.6654  4 Np 2.85
Nb: 0.6590 0.6590 0.3180  4 Nb 2.85, 4 Au 2.97
Au: 0.0083 0.0083 0.0166  4 Au 2.85, 4 Nb 2.97


No. 2
A geometry-optimized CeCo4P2 structure, computed with GGA-PBE.

Properties
Total moment ... 0.00 μB per cell
Energy of formation from the pure elements ... -0.62 eV/atom
Space-group type ... No. 62

Lattice parameters (Å, degrees): 3.7426 6.1509 16.0752 90.00 90.00 90.00
With the nearest neighbours (Å) after each atom.
Positions (direct):
Ce: 0.7500 0.9943 0.6429  6 Co 2.56-2.82
Ce: 0.2500 0.0057 0.3571  6 Co 2.56-2.82
Ce: 0.2500 0.4943 0.8571  6 Co 2.56-2.82
Ce: 0.7500 0.5057 0.1429  6 Co 2.56-2.82
Co: 0.2500 0.2544 0.7268  3 P 2.22-2.25
Co: 0.7500 0.7456 0.2732  3 P 2.22-2.25
Co: 0.7500 0.7544 0.7732  3 P 2.22-2.25
Co: 0.2500 0.2456 0.2268  3 P 2.22-2.25
Co: 0.2500 0.6277 0.6672  3 P 2.21-2.25
Co: 0.7500 0.3723 0.3328  3 P 2.21-2.25
Co: 0.7500 0.1277 0.8328  3 P 2.21-2.25
Co: 0.2500 0.8723 0.1672  3 P 2.21-2.25
Co: 0.2500 0.1347 0.5232  3 P 2.24-2.41
Co: 0.7500 0.8653 0.4768  3 P 2.24-2.41
Co: 0.7500 0.6347 0.9768  3 P 2.24-2.41
Co: 0.2500 0.3653 0.0232  3 P 2.24-2.41
Co: 0.2500 0.4947 0.4390  4 P 2.20-2.41
Co: 0.7500 0.5053 0.5610  4 P 2.20-2.41
Co: 0.7500 0.9947 0.0610  4 P 2.20-2.41
Co: 0.2500 0.0053 0.9390  4 P 2.20-2.41
P: 0.2500 0.7441 0.5373  7 Co 2.20-2.41
P: 0.7500 0.2559 0.4627  7 Co 2.20-2.41
P: 0.7500 0.2441 0.9627  7 Co 2.20-2.41
P: 0.2500 0.7559 0.0373  7 Co 2.20-2.41
P: 0.2500 0.9467 0.7987  6 Co 2.22-2.28
P: 0.7500 0.0533 0.2013  6 Co 2.22-2.28
P: 0.7500 0.4467 0.7013  6 Co 2.22-2.28
P: 0.2500 0.5533 0.2987  6 Co 2.22-2.28


No. 3
A geometry-optimized HgSeBr2 structure, computed with GGA-PBE.

Properties
Total moment ... 0.00 μB per cell
Space-group type ... No. 25
Raw formation energy ... 10 kJ/mol of atoms

Lattice parameters (Å, degrees): 3.5226 6.8410 5.3800 90.00 90.00 90.00
With the nearest neighbours (Å) after each atom.
Positions (direct):
Br: 0.0000 0.0000 0.1159  2 Hg 2.69
Br: 0.5000 0.5000 0.1721  1 Se 2.28
Hg: 0.0000 0.0000 0.6157  2 Br 2.69
Se: 0.5000 0.5000 0.5963  1 Br 2.28


No. 4
A geometry-optimized Mg5GaPd2 structure, computed with GGA-PBE.

Properties
Total moment ... 0.00 μB per cell
Energy of formation from the pure elements ... -0.38 eV/atom
Space-group type ... No. 194

Lattice parameters (Å, degrees): 4.5855 4.5855 17.4550 90.00 90.00 120.00
With the nearest neighbours (Å) after each atom.
Positions (direct):
Mg: 0.0000 0.0000 0.3511  3 Pd 2.75
Mg: 0.0000 0.0000 0.1489  3 Pd 2.75
Mg: 0.6667 0.3333 0.2500  3 Ga 2.65
Mg: 0.0000 0.0000 0.8511  3 Pd 2.75
Mg: 0.6667 0.3333 0.0487  4 Pd 2.72-2.84
Mg: 0.3333 0.6667 0.7500  3 Ga 2.65
Mg: 0.3333 0.6667 0.9513  4 Pd 2.72-2.84
Mg: 0.3333 0.6667 0.5487  4 Pd 2.72-2.84
Mg: 0.6667 0.3333 0.4513  4 Pd 2.72-2.84
Mg: 0.0000 0.0000 0.6489  3 Pd 2.75
Ga: 0.3333 0.6667 0.2500  2 Pd 2.49, 3 Mg 2.65
Ga: 0.6667 0.3333 0.7500  2 Pd 2.49, 3 Mg 2.65
Pd: 0.6667 0.3333 0.6071  1 Ga 2.49, 4 Mg 2.72-2.75
Pd: 0.3333 0.6667 0.1071  1 Ga 2.49, 4 Mg 2.72-2.75
Pd: 0.3333 0.6667 0.3929  1 Ga 2.49, 4 Mg 2.72-2.75
Pd: 0.6667 0.3333 0.8929  1 Ga 2.49, 4 Mg 2.72-2.75


No. 5
A geometry-optimized Al3ReS structure, computed with GGA-PBE.

Properties
Total moment ... 1.36 μB per cell
Space-group type ... No. 221
Raw formation energy ... 86 kJ/mol of atoms

Lattice parameters (Å, degrees): 4.4503 4.4503 4.4503 90.00 90.00 90.00
With the nearest neighbours (Å) after each atom.
Positions (direct):
Re: 0.5000 0.5000 0.5000  12 Al 3.15
S: 0.0000 0.0000 0.0000  6 Al 2.23
Al: 0.0000 0.5000 0.0000  2 S 2.23
Al: 0.0000 0.0000 0.5000  2 S 2.23
Al: 0.5000 0.0000 0.0000  2 S 2.23


No. 6
A geometry-optimized NiAgSe2 structure, computed with GGA-PBE.

Properties
Total moment ... 0.00 μB per cell
Space-group type ... No. 44
Raw formation energy ... 4 kJ/mol of atoms

Lattice parameters (Å, degrees): 6.7812 6.7812 6.7812 154.43 146.67 42.47
With the nearest neighbours (Å) after each atom.
Positions (direct):
Ag: 0.4408 0.4408 0.0000  6 Se 2.81-2.91, 2 Ag 3.00
Ni: 0.2151 0.7151 0.5000  6 Se 2.43-2.59
Se: 0.0641 0.0641 0.0000  2 Ni 2.43
Se: 0.7800 0.2800 0.5000  4 Ni 2.59, 2 Ag 2.81


Number 1: DOS at the Fermi energy 1.849 states/eV per atom, final energy -8.651 eV/atom. Number 2: DOS at the Fermi energy 0.503 states/eV per atom, final energy -7.075 eV/atom. Number 3: DOS at the Fermi energy 0.531 states/eV per atom, final energy -1.684 eV/atom. Number 4: DOS at the Fermi energy 0.412 states/eV per atom, final energy -3.057 eV/atom. Number 5: DOS at the Fermi energy 0.636 states/eV per atom, final energy -4.665 eV/atom. Number 6: DOS at the Fermi energy 0.873 states/eV per atom, final energy -3.854 eV/atom.